A geometry-optimized RbFeTc2O8 structure, computed with PBE+U.

Geometry as CIF:
```
data_RbFeTc2O8
_cell_length_a 5.842
_cell_length_b 5.842
_cell_length_c 7.662
_cell_angle_alpha 90.00
_cell_angle_beta 90.00
_cell_angle_gamma 120.00
_symmetry_space_group_name_H-M 'P 1'
_symmetry_Int_Tables_number 1
loop_
_symmetry_equiv_pos_as_xyz
'x,y,z'
loop_
_atom_site_label
_atom_site_type_symbol
_atom_site_fract_x
_atom_site_fract_y
_atom_site_fract_z
_atom_site_occupancy
Tc1 Tc 0.333 0.667 0.735 1
Tc2 Tc 0.667 0.333 0.265 1
O1 O 0.168 0.833 0.661 1
O2 O 0.833 0.664 0.339 1
O3 O 0.667 0.333 0.037 1
Fe1 Fe 0.000 0.000 0.500 1
Rb1 Rb 0.000 0.000 0.000 1
O4 O 0.336 0.168 0.339 1
O5 O 0.167 0.336 0.661 1
O6 O 0.664 0.832 0.661 1
O7 O 0.832 0.167 0.339 1
O8 O 0.333 0.667 0.963 1
```

Values from the calculation:
Space group ... P-3m1, No. 164
E_tot ... -7.100 eV per atom
Crystal system ... trigonal
Total moment ... 2.94 μB per formula unit